Entry i
## Tl2RuPt (GGA-PBEsol)

Data for Tl2RuPt after structural relaxation.

CIF file:
```
data_Tl2RuPt
_symmetry_space_group_name_H-M 'P 4/m m m'
_symmetry_Int_Tables_number 123
_symmetry_space_group_name_Hall '-P 4 2'
_cell_length_a 3.3468
_cell_length_b 3.3468
_cell_length_c 6.3349
_cell_angle_alpha 90.00
_cell_angle_beta 90.00
_cell_angle_gamma 90.00
loop_
_atom_site_label
_atom_site_type_symbol
_atom_site_fract_x
_atom_site_fract_y
_atom_site_fract_z
Tl1 Tl 0.0000 0.0000 0.2443
Ru1 Ru 0.5000 0.5000 0.0000
Pt1 Pt 0.5000 0.5000 0.5000
```

The density comes out at 16.50 g cm⁻³. The volume comes out at 17.739 Å³/atom.



Entry ii
## Tl2RuPt (GGA-PBEsol)

Data for Tl2RuPt after structural relaxation.

CIF file:
```
data_Tl2RuPt
_symmetry_space_group_name_H-M 'P m m 2'
_symmetry_Int_Tables_number 25
_cell_length_a 3.0592
_cell_length_b 4.2145
_cell_length_c 5.7213
_cell_angle_alpha 90.00
_cell_angle_beta 90.00
_cell_angle_gamma 90.00
loop_
_symmetry_equiv_pos_as_xyz
'x,y,z'
'-x,-y,z'
'-x,y,z'
'x,-y,z'
loop_
_atom_site_label
_atom_site_type_symbol
_atom_site_fract_x
_atom_site_fract_y
_atom_site_fract_z
Tl1 Tl 0.0000 0.0000 0.0000
Tl2 Tl 0.5000 0.5000 0.3410
Ru1 Ru 0.5000 0.5000 0.8326
Pt1 Pt 0.0000 0.0000 0.5291
```

The density comes out at 15.87 g cm⁻³. The volume comes out at 18.441 Å³/atom.



Need the numbers? Relative energies in meV per atom: entry i 0; entry ii 122.



Entry i
## Tl2RuPt (GGA-PBEsol)

Data for Tl2RuPt after structural relaxation.

CIF file:
```
data_Tl2RuPt
_symmetry_space_group_name_H-M 'P 4 m m'
_symmetry_Int_Tables_number 99
_cell_length_a 3.1372
_cell_length_b 3.1372
_cell_length_c 8.0516
_cell_angle_alpha 90.00
_cell_angle_beta 90.00
_cell_angle_gamma 90.00
loop_
_symmetry_equiv_pos_as_xyz
'x,y,z'
'-y,x,z'
'-x,-y,z'
'y,-x,z'
'-x,y,z'
'y,x,z'
'x,-y,z'
'-y,-x,z'
loop_
_atom_site_label
_atom_site_type_symbol
_atom_site_fract_x
_atom_site_fract_y
_atom_site_fract_z
Tl1 Tl 0.0000 0.0000 0.0000
Tl2 Tl 0.5000 0.5000 0.3342
Ru1 Ru 0.5000 0.5000 0.7592
Pt1 Pt 0.0000 0.0000 0.5928
```

The density comes out at 14.77 g cm⁻³. The volume comes out at 19.811 Å³/atom.



Entry ii
## Tl2RuPt (GGA-PBEsol)

Data for Tl2RuPt after structural relaxation.

CIF file:
```
data_Tl2RuPt
_symmetry_space_group_name_H-M 'C 1 2/m 1'
_symmetry_Int_Tables_number 12
_cell_length_a 8.6754
_cell_length_b 3.2679
_cell_length_c 5.3325
_cell_angle_alpha 90.00
_cell_angle_beta 103.68
_cell_angle_gamma 90.00
loop_
_symmetry_equiv_pos_as_xyz
'x,y,z'
'-x,-y,-z'
'-x,y,-z'
'x,-y,z'
'x+1/2,y+1/2,z'
'-x+1/2,-y+1/2,-z'
'-x+1/2,y+1/2,-z'
'x+1/2,-y+1/2,z'
loop_
_atom_site_label
_atom_site_type_symbol
_atom_site_fract_x
_atom_site_fract_y
_atom_site_fract_z
Tl1 Tl 0.2486 0.0000 0.2460
Ru1 Ru 0.0000 0.5000 0.0000
Pt1 Pt 0.0000 0.0000 0.5000
```

The density comes out at 15.94 g cm⁻³. The volume comes out at 18.361 Å³/atom.



Entry iii
## Tl2RuPt (GGA-PBEsol)

Data for Tl2RuPt after structural relaxation.

CIF file:
```
data_Tl2RuPt
_symmetry_space_group_name_H-M 'F -4 3 m'
_symmetry_Int_Tables_number 216
_symmetry_space_group_name_Hall 'F -4 2 3'
_cell_length_a 6.6470
_cell_length_b 6.6470
_cell_length_c 6.6470
_cell_angle_alpha 90.00
_cell_angle_beta 90.00
_cell_angle_gamma 90.00
loop_
_atom_site_label
_atom_site_type_symbol
_atom_site_fract_x
_atom_site_fract_y
_atom_site_fract_z
Tl1 Tl 0.0000 0.0000 0.0000
Tl2 Tl 0.2500 0.2500 0.2500
Ru1 Ru 0.0000 0.0000 0.5000
Pt1 Pt 0.2500 0.2500 0.7500
```

The density comes out at 15.94 g cm⁻³. The volume comes out at 18.355 Å³/atom.



Need the numbers? Relative energies in meV per atom: entry i 0; entry ii 44; entry iii 242.



Entry i
## RuPtW (GGA-PBEsol)

Data for RuPtW after structural relaxation.

CIF file:
```
data_RuPtW
_symmetry_space_group_name_H-M 'P 3 m 1'
_symmetry_Int_Tables_number 156
_cell_length_a 2.7466
_cell_length_b 2.7466
_cell_length_c 6.7310
_cell_angle_alpha 90.00
_cell_angle_beta 90.00
_cell_angle_gamma 120.00
loop_
_symmetry_equiv_pos_as_xyz
'x,y,z'
'-y,x-y,z'
'-x+y,-x,z'
'-y,-x,z'
'-x+y,y,z'
'x,x-y,z'
loop_
_atom_site_label
_atom_site_type_symbol
_atom_site_fract_x
_atom_site_fract_y
_atom_site_fract_z
Ru1 Ru 0.0000 0.0000 0.0000
Pt1 Pt 0.6667 0.3333 0.3448
W1 W 0.3333 0.6667 0.6841
```

The density comes out at 18.12 g cm⁻³. The volume comes out at 14.658 Å³/atom.



Entry ii
## RuPtW (GGA-PBEsol)

Data for RuPtW after structural relaxation.

CIF file:
```
data_RuPtW
_symmetry_space_group_name_H-M 'I 4 m m'
_symmetry_Int_Tables_number 107
_symmetry_space_group_name_Hall 'I 4 -2'
_cell_length_a 2.7512
_cell_length_b 2.7512
_cell_length_c 11.5936
_cell_angle_alpha 90.00
_cell_angle_beta 90.00
_cell_angle_gamma 90.00
loop_
_atom_site_label
_atom_site_type_symbol
_atom_site_fract_x
_atom_site_fract_y
_atom_site_fract_z
Ru1 Ru 0.0000 0.0000 0.0000
Pt1 Pt 0.0000 0.0000 0.6746
W1 W 0.0000 0.0000 0.3451
```

The density comes out at 18.17 g cm⁻³. The volume comes out at 14.625 Å³/atom.



Entry iii
## RuPtW (GGA-PBEsol)

Data for RuPtW after structural relaxation.

CIF file:
```
data_RuPtW
_symmetry_space_group_name_H-M 'I m m 2'
_symmetry_Int_Tables_number 44
_cell_length_a 2.7178
_cell_length_b 3.8787
_cell_length_c 8.2832
_cell_angle_alpha 90.00
_cell_angle_beta 90.00
_cell_angle_gamma 90.00
loop_
_symmetry_equiv_pos_as_xyz
'x,y,z'
'-x,-y,z'
'-x,y,z'
'x,-y,z'
'x+1/2,y+1/2,z+1/2'
'-x+1/2,-y+1/2,z+1/2'
'-x+1/2,y+1/2,z+1/2'
'x+1/2,-y+1/2,z+1/2'
loop_
_atom_site_label
_atom_site_type_symbol
_atom_site_fract_x
_atom_site_fract_y
_atom_site_fract_z
Ru1 Ru 0.0000 0.0000 0.0000
Pt1 Pt 0.0000 0.0000 0.6692
W1 W 0.0000 0.0000 0.3408
```

The density comes out at 18.26 g cm⁻³. The volume comes out at 14.553 Å³/atom.



Need the numbers? Relative energies in meV per atom: entry i 111; entry ii 25; entry iii 0.



Entry i
## SiSbPt2 (GGA-PBEsol)

Data for SiSbPt2 after structural relaxation.

CIF file:
```
data_SiSbPt2
_symmetry_space_group_name_H-M 'P 4/m m m'
_symmetry_Int_Tables_number 123
_symmetry_space_group_name_Hall '-P 4 2'
_cell_length_a 3.0266
_cell_length_b 3.0266
_cell_length_c 7.3236
_cell_angle_alpha 90.00
_cell_angle_beta 90.00
_cell_angle_gamma 90.00
loop_
_atom_site_label
_atom_site_type_symbol
_atom_site_fract_x
_atom_site_fract_y
_atom_site_fract_z
Si1 Si 0.0000 0.0000 0.0000
Sb1 Sb 0.0000 0.0000 0.5000
Pt1 Pt 0.5000 0.5000 0.1905
```

The density comes out at 13.37 g cm⁻³. The volume comes out at 16.772 Å³/atom.



Entry ii
## SiSbPt2 (GGA-PBEsol)

Data for SiSbPt2 after structural relaxation.

CIF file:
```
data_SiSbPt2
_symmetry_space_group_name_H-M 'F m -3 m'
_symmetry_Int_Tables_number 225
_symmetry_space_group_name_Hall '-F 4 2 3'
_cell_length_a 6.4676
_cell_length_b 6.4676
_cell_length_c 6.4676
_cell_angle_alpha 90.00
_cell_angle_beta 90.00
_cell_angle_gamma 90.00
loop_
_atom_site_label
_atom_site_type_symbol
_atom_site_fract_x
_atom_site_fract_y
_atom_site_fract_z
Si1 Si 0.0000 0.0000 0.0000
Sb1 Sb 0.0000 0.0000 0.5000
Pt1 Pt 0.2500 0.2500 0.2500
```

The density comes out at 13.26 g cm⁻³. The volume comes out at 16.909 Å³/atom.



Need the numbers? Relative energies in meV per atom: entry i 0; entry ii 224.